DFT (PBE) results for ZrCrBr2 after structural relaxation.

**SG**: P4mm
**Formation energy (no corrections)**: -373 meV/atom

abc: 3.4691 3.4691 8.4021
angles: 90.00 90.00 90.00
Sites, in units of the cell vectors:
Br 0.0000 0.0000 0.9187
Zr 0.5000 0.5000 0.7052
Cr 0.0000 0.0000 0.5176
Br 0.5000 0.5000 0.3584


DFT (PBE) results for Ce2ErSc12 after structural relaxation.

**DFT formation energy**: 5.005 eV/f.u.
**SG**: P4/nbm

abc: 5.9202 5.9202 23.7086
angles: 90.00 90.00 90.00
Sites, in units of the cell vectors:
Sc 0.0000 0.0000 0.2158
Sc 0.5000 0.5000 0.3442
Sc 0.1841 0.3159 0.1185
Sc 0.3300 0.1700 0.5590
Sc 0.6700 0.1700 0.4410
Sc 0.6841 0.1841 0.1185
Sc 0.6841 0.8159 0.8815
Sc 0.0000 0.0000 0.7842
Sc 0.1841 0.6841 0.8815
Sc 0.8159 0.6841 0.1185
Sc 0.1700 0.6700 0.5590
Ce 0.0000 0.5000 0.2790
Ce 0.5000 0.0000 0.7210
Ce 0.5000 0.0000 0.2790
Sc 0.1700 0.3300 0.4410
Sc 0.6700 0.8300 0.5590
Er 0.0000 0.5000 0.0000
Sc 0.5000 0.5000 0.7842
Sc 0.8159 0.3159 0.8815
Er 0.5000 0.0000 0.0000
Sc 0.5000 0.5000 0.6558
Sc 0.3300 0.8300 0.4410
Sc 0.8300 0.6700 0.4410
Sc 0.3159 0.1841 0.8815
Sc 0.3159 0.8159 0.1185
Sc 0.0000 0.0000 0.3442
Sc 0.8300 0.3300 0.5590
Ce 0.0000 0.5000 0.7210
Sc 0.0000 0.0000 0.6558
Sc 0.5000 0.5000 0.2158


DFT (PBE) results for RbBi3As after structural relaxation.

**DFT formation energy**: 8.096 eV/f.u.
**SG**: Pm-3m

abc: 6.0421 6.0421 6.0421
angles: 90.00 90.00 90.00
Sites, in units of the cell vectors:
Bi 0.0000 0.0000 0.5000
Rb 0.0000 0.0000 0.0000
Bi 0.5000 0.0000 0.0000
As 0.5000 0.5000 0.5000
Bi 0.0000 0.5000 0.0000


DFT (PBE) results for PmYAlSi after structural relaxation.

**SG**: Amm2
**Formation energy (no corrections)**: -647 meV/atom

abc: 4.3932 4.0277 5.9394
angles: 90.00 111.71 90.00
Sites, in units of the cell vectors:
Si 0.4260 0.0000 0.8520
Al 0.5690 0.5000 0.1380
Pm 0.1440 0.0000 0.2881
Y 0.8610 0.5000 0.7219


Values for magnetic moment, μB per cell, ordered as above
4.01; 11.79; 0.00; 0.00
Values for total energy, eV per atom, ordered as above
-5.7524; -5.8269; -1.8328; -5.7423